Version A
11
Lattice="10.307 -2.004 0.000 10.307 2.004 0.000 -1.772 0.000 8.437" Properties=species:S:1:pos:R:3 comment="Tb4B2I5 (PBE, optimized geometry)" rho_kg_m3=6154 sg="C2/m, No. 12" pbc="T T T"
Tb -0.293 0.000 1.594
Tb 5.470 0.000 7.763
Tb 13.371 0.000 0.675
Tb 19.134 0.000 6.843
B 7.760 0.000 8.293
B 11.082 0.000 0.144
I 2.726 0.000 2.949
I 2.073 0.000 6.899
I 9.421 0.000 4.219
I 16.769 0.000 1.538
I 16.116 0.000 5.488


Version B
11
Lattice="-2.010 4.285 10.745 2.010 -4.285 10.745 2.010 4.285 -10.745" Properties=species:S:1:pos:R:3 comment="Tb4B2I5 (PBE, optimized geometry)" rho_kg_m3=5794 sg="Immm, No. 71" pbc="T T T"
Tb 0.000 0.000 3.107
Tb 2.010 1.620 0.000
Tb 0.000 2.665 10.745
Tb 0.000 0.000 18.384
B 0.000 0.000 0.787
B 0.000 0.000 20.704
I 2.010 2.283 -3.360
I 2.010 2.283 3.360
I 0.000 4.285 0.000
I 0.000 2.002 7.385
I 0.000 2.002 14.106


Most stable to least stable, the ends of the list are version A and version B.


Version A
16
Lattice="5.436 0.000 0.000 0.000 5.436 0.000 0.000 0.000 10.113" Properties=species:S:1:pos:R:3 comment="TcB2I (PBE, optimized geometry)" rho_kg_m3=5479 sg="I-42d, No. 122" pbc="T T T"
Tc 0.000 0.000 0.000
Tc 0.000 2.718 2.528
Tc 2.718 0.000 7.585
Tc 2.718 2.718 5.057
B 0.837 1.359 1.264
B 1.359 3.555 3.792
B 1.359 4.599 8.849
B 1.881 1.359 6.321
B 3.555 4.077 6.321
B 4.077 0.837 8.849
B 4.077 1.881 3.792
B 4.599 4.077 1.264
I 0.000 0.000 5.057
I 0.000 2.718 7.585
I 2.718 0.000 2.528
I 2.718 2.718 0.000


Version B
16
Lattice="5.902 0.000 0.000 0.000 5.902 0.000 0.000 0.000 5.902" Properties=species:S:1:pos:R:3 comment="TcB2I (PBE, optimized geometry)" rho_kg_m3=7966 sg="Fm-3m, No. 225" pbc="T T T"
Tc 0.000 0.000 0.000
Tc 0.000 2.951 2.951
Tc 2.951 0.000 2.951
Tc 2.951 2.951 0.000
B 1.475 1.475 1.475
B 1.475 1.475 4.426
B 1.475 4.426 1.475
B 1.475 4.426 4.426
B 4.426 1.475 1.475
B 4.426 1.475 4.426
B 4.426 4.426 1.475
B 4.426 4.426 4.426
I 0.000 0.000 2.951
I 0.000 2.951 0.000
I 2.951 0.000 0.000
I 2.951 2.951 2.951


Most stable to least stable, the ends of the list are version A and version B.


Version A
5
Lattice="5.154 0.000 0.000 0.000 5.154 0.000 0.000 0.000 5.154" Properties=species:S:1:pos:R:3 comment="TcBI3 (PBE, optimized geometry)" rho_kg_m3=5937 sg="Pm-3m, No. 221" pbc="T T T"
Tc 0.000 0.000 0.000
B 2.577 2.577 2.577
I 0.000 2.577 2.577
I 2.577 0.000 2.577
I 2.577 2.577 0.000


Version B
5
Lattice="5.537 0.000 0.000 0.000 5.537 0.000 0.000 0.000 5.537" Properties=species:S:1:pos:R:3 comment="TcBI3 (PBE, optimized geometry)" rho_kg_m3=4789 sg="Pm-3m, No. 221" pbc="T T T"
Tc 0.000 0.000 0.000
B 2.768 2.768 2.768
I 0.000 0.000 2.768
I 0.000 2.768 0.000
I 2.768 0.000 0.000


Most stable to least stable, the ends of the list are version B and version A.


Version A
5
Lattice="4.827 0.000 0.000 0.000 4.827 0.000 0.000 0.000 4.819" Properties=species:S:1:pos:R:3 comment="TcBTeI2 (PBE, optimized geometry)" rho_kg_m3=7248 sg="P4/mmm, No. 123" pbc="T T T"
Tc 0.000 0.000 0.000
B 2.414 2.414 2.410
Te 2.414 2.414 0.000
I 0.000 2.414 2.410
I 2.414 0.000 2.410


Version B
5
Lattice="5.636 0.000 0.000 0.000 5.636 0.000 0.000 0.000 5.037" Properties=species:S:1:pos:R:3 comment="TcBTeI2 (PBE, optimized geometry)" rho_kg_m3=5088 sg="P4/mmm, No. 123" pbc="T T T"
Tc 0.000 0.000 0.000
B 2.818 2.818 2.518
Te 0.000 0.000 2.518
I 0.000 2.818 0.000
I 2.818 0.000 0.000


Most stable to least stable, the ends of the list are version B and version A.


Version A
6
Lattice="7.584 0.000 0.000 0.000 3.040 0.000 -2.864 0.000 7.969" Properties=species:S:1:pos:R:3 comment="BTeI (PBE, optimized geometry)" rho_kg_m3=4796 sg="P2_1/m, No. 11" pbc="T T T"
B 0.014 0.760 0.405
B 4.707 2.280 7.564
Te 1.426 0.760 2.190
Te 3.295 2.280 5.779
I -0.703 2.280 6.474
I 5.423 0.760 1.495


Version B
12
Lattice="15.422 0.000 0.000 0.000 3.643 0.000 -7.014 0.000 9.027" Properties=species:S:1:pos:R:3 comment="BTeI (PBE, optimized geometry)" rho_kg_m3=3475 sg="C2/m, No. 12" pbc="T T T"
B 1.619 0.000 2.135
B -0.922 1.822 6.893
B 9.330 1.822 2.135
B 6.789 0.000 6.893
Te -2.159 0.000 7.065
Te 2.856 1.822 1.962
Te 5.552 1.822 7.065
Te 10.567 0.000 1.962
I -0.474 0.000 2.411
I 1.171 1.822 6.617
I 7.237 1.822 2.411
I 8.882 0.000 6.617


Most stable to least stable, the ends of the list are version B and version A.


Version A
5
Lattice="5.024 0.000 0.000 0.000 5.024 0.000 0.000 0.000 5.024" Properties=species:S:1:pos:R:3 comment="BTe3I (PBE, optimized geometry)" rho_kg_m3=6817 sg="Pm-3m, No. 221" pbc="T T T"
B 0.000 0.000 0.000
Te 0.000 0.000 2.512
Te 0.000 2.512 0.000
Te 2.512 0.000 0.000
I 2.512 2.512 2.512


Version B
10
Lattice="6.611 0.000 0.000 0.000 7.017 0.000 -0.009 -0.081 8.697" Properties=species:S:1:pos:R:3 comment="BTe3I (PBE, optimized geometry)" rho_kg_m3=4285 sg="P1, No. 1" pbc="T T T"
B 0.000 0.000 0.000
B 3.296 0.015 7.003
Te 0.813 6.348 1.944
Te 1.051 0.454 6.803
Te 2.607 5.184 5.842
Te 4.109 0.684 5.059
Te 4.366 6.578 0.199
Te 5.922 1.847 1.162
I 1.934 3.619 1.637
I 5.230 3.412 5.366


Version C
5
Lattice="5.872 0.000 0.000 0.000 5.872 0.000 0.000 0.000 5.872" Properties=species:S:1:pos:R:3 comment="BTe3I (PBE, optimized geometry)" rho_kg_m3=4269 sg="Pm-3m, No. 221" pbc="T T T"
B 0.000 0.000 0.000
Te 0.000 2.936 2.936
Te 2.936 0.000 2.936
Te 2.936 2.936 0.000
I 2.936 2.936 2.936


Most stable to least stable, the ends of the list are version B and version C.


Version A
16
Lattice="6.253 0.000 0.000 0.000 6.253 0.000 0.000 0.000 8.185" Properties=species:S:1:pos:R:3 comment="B2TeI (PBE, optimized geometry)" rho_kg_m3=5731 sg="I-42d, No. 122" pbc="T T T"
B 1.384 4.690 1.023
B 1.563 1.384 7.162
B 1.563 1.742 3.069
B 1.742 4.690 5.116
B 4.511 1.563 5.116
B 4.690 4.511 3.069
B 4.690 4.869 7.162
B 4.869 1.563 1.023
Te 0.000 0.000 0.000
Te 0.000 3.126 2.046
Te 3.126 0.000 6.139
Te 3.126 3.126 4.092
I 0.000 0.000 4.092
I 0.000 3.126 6.139
I 3.126 0.000 2.046
I 3.126 3.126 0.000


Version B
16
Lattice="6.659 0.000 0.000 0.000 6.659 0.000 0.000 0.000 6.659" Properties=species:S:1:pos:R:3 comment="B2TeI (PBE, optimized geometry)" rho_kg_m3=6211 sg="Fm-3m, No. 225" pbc="T T T"
B 1.665 1.665 1.665
B 1.665 1.665 4.994
B 1.665 4.994 1.665
B 1.665 4.994 4.994
B 4.994 1.665 1.665
B 4.994 1.665 4.994
B 4.994 4.994 1.665
B 4.994 4.994 4.994
Te 0.000 0.000 0.000
Te 0.000 3.330 3.330
Te 3.330 0.000 3.330
Te 3.330 3.330 0.000
I 0.000 0.000 3.330
I 0.000 3.330 0.000
I 3.330 0.000 0.000
I 3.330 3.330 3.330


Most stable to least stable, the ends of the list are version A and version B.


Version A
5
Lattice="6.066 0.000 0.000 0.000 6.066 0.000 0.000 0.000 6.066" Properties=species:S:1:pos:R:3 comment="BTeI3 (PBE, optimized geometry)" rho_kg_m3=3861 sg="Pm-3m, No. 221" pbc="T T T"
B 0.000 0.000 0.000
Te 3.033 3.033 3.033
I 0.000 3.033 3.033
I 3.033 0.000 3.033
I 3.033 3.033 0.000


Version B
5
Lattice="5.168 0.000 0.000 0.000 5.168 0.000 0.000 0.000 5.168" Properties=species:S:1:pos:R:3 comment="BTeI3 (PBE, optimized geometry)" rho_kg_m3=6247 sg="Pm-3m, No. 221" pbc="T T T"
B 0.000 0.000 0.000
Te 2.584 2.584 2.584
I 0.000 0.000 2.584
I 0.000 2.584 0.000
I 2.584 0.000 0.000


Most stable to least stable, the ends of the list are version B and version A.